# 1
DFT (PBE) results for SnHOs2 after structural relaxation.

Unit cell a=4.8062 b=5.4278 c=5.4546 alpha=65.14 beta=75.77 gamma=74.23
Fractional positions:
Sn (0.0000, 0.0000, 0.0000)
Sn (0.4501, 0.2888, 0.5571)
H (0.3784, 0.9000, 0.3526)
H (0.6340, 0.6224, 0.0010)
Os (0.0214, 0.9909, 0.4878)
Os (0.0460, 0.5093, 0.9285)
Os (0.5094, 0.7336, 0.6939)
Os (0.9272, 0.5150, 0.4127)

Crystal system: triclinic
Space-group type: No. 1
ρ: 13.5 g cm⁻³
Energy above the most stable polymorph in this dataset: 0.148 eV per atom

# 2
DFT (PBE) results for La2Zn2SnPt5 after structural relaxation.

Unit cell a=10.0037 b=10.0037 c=3.8599 alpha=90.00 beta=90.00 gamma=90.00
Fractional positions:
La (0.1796, 0.3204, 0.0000)
La (0.3204, 0.8204, 0.0000)
La (0.6796, 0.1796, 0.0000)
La (0.8204, 0.6796, 0.0000)
Zn (0.1175, 0.6175, 0.0000)
Zn (0.3825, 0.1175, 0.0000)
Zn (0.6175, 0.8825, 0.0000)
Zn (0.8825, 0.3825, 0.0000)
Sn (0.0000, 0.0000, 0.0000)
Sn (0.5000, 0.5000, 0.0000)
Pt (0.0000, 0.5000, 0.5000)
Pt (0.0617, 0.7886, 0.5000)
Pt (0.2114, 0.0617, 0.5000)
Pt (0.2886, 0.5617, 0.5000)
Pt (0.4383, 0.2886, 0.5000)
Pt (0.5000, 0.0000, 0.5000)
Pt (0.5617, 0.7114, 0.5000)
Pt (0.7114, 0.4383, 0.5000)
Pt (0.7886, 0.9383, 0.5000)
Pt (0.9383, 0.2114, 0.5000)

Crystal system: tetragonal
Space-group type: No. 127
ρ: 12.9 g cm⁻³
Formation enthalpy at 0 K: -790.2 meV per atom

# 3
DFT (PBE) results for AcGdSn4 after structural relaxation.

Unit cell a=6.2978 b=6.2978 c=6.2978 alpha=60.00 beta=60.00 gamma=60.00
Fractional positions:
Ac (0.0000, 0.0000, 0.0000)
Gd (0.2500, 0.2500, 0.2500)
Sn (0.1273, 0.6242, 0.6242)
Sn (0.6242, 0.1273, 0.6242)
Sn (0.6242, 0.6242, 0.1273)
Sn (0.6242, 0.6242, 0.6242)

Crystal system: cubic
Space-group type: No. 216
ρ: 8.1 g cm⁻³
Formation enthalpy at 0 K: -371.9 meV per atom

We obtain volume values of 122.8 386.3 176.6 Å³ per cell for the records listed above, in that order.